A relaxed VGaIO2 crystal, computed with GGA+U.

CIF file:
```
data_VGaIO2
_symmetry_space_group_name_H-M 'P 4/m m m'
_symmetry_Int_Tables_number 123
_symmetry_space_group_name_Hall '-P 4 2'
_cell_length_a 3.9171
_cell_length_b 3.9171
_cell_length_c 5.7456
_cell_angle_alpha 90.00
_cell_angle_beta 90.00
_cell_angle_gamma 90.00
loop_
_atom_site_label
_atom_site_type_symbol
_atom_site_fract_x
_atom_site_fract_y
_atom_site_fract_z
_atom_site_occupancy
V1 V 0.0000 0.0000 0.0000 1
Ga1 Ga 0.5000 0.5000 0.5000 1
I1 I 0.5000 0.5000 0.0000 1
O1 O 0.0000 0.5000 0.5000 1
```

Results
ΔE to the lowest computed polymorph = 389 meV per atom
calculated volume = 17.6 Å³ per atom